(a)
Entry from Alexandria via LeMat-Bulk: a crystal of BaSrNi2 relaxed with PBEsol (SCAN).

Cell: 3.4209 3.4209 8.6074 Å, 90.00 90.00 90.00°
Fractional coordinates of all 4 atoms:
Ba 0.0000 0.0000 0.0000
Sr 0.5000 0.5000 0.5637
Ni 0.0000 0.0000 0.3206
Ni 0.5000 0.5000 0.2545

Calculated values
calculated volume: 101 Å³ per cell
DOS(E_F): 0.890 states/eV/atom

***

(b)
Entry from Alexandria via LeMat-Bulk: a crystal of BaSrNi2 relaxed with PBEsol (SCAN).

Cell: 6.0496 6.0496 6.0496 Å, 139.10 139.10 59.23°
Fractional coordinates of all 4 atoms:
Ba 0.0000 0.0000 0.0000
Sr 0.2500 0.7500 0.5000
Ni 0.5000 0.5000 0.0000
Ni 0.7500 0.2500 0.5000

Calculated values
calculated volume: 94 Å³ per cell
DOS(E_F): 0.347 states/eV/atom

***

The structure shown above that is least stable: (b).